No. 1
The following is a GGA-PBE calculation of a relaxed LiSiTe2N crystal, from Alexandria.

Summary:
Formation energy without anion corrections = -0.09 eV per atom
Crystal system = tetragonal
E above lowest polymorph = 0.000 eV/atom

Lattice parameters (Å, degrees): 5.730 5.730 3.265 90.00 90.00 90.00
Space group P4/mmm (No. 123)
Symmetry-distinct sites (fractional):
1 Li 0.000 0.000 0.000
2 Si 0.500 0.500 0.500
3 Te 0.000 0.500 0.500
4 N 0.500 0.500 0.000

No. 2
The following is a GGA-PBE calculation of a relaxed LiSiTe2N crystal, from Alexandria.

Summary:
Formation energy without anion corrections = 0.94 eV per atom
Crystal system = tetragonal
E above lowest polymorph = 1.023 eV/atom

Lattice parameters (Å, degrees): 5.227 5.227 3.483 90.00 90.00 90.00
Space group P4/mmm (No. 123)
Symmetry-distinct sites (fractional):
1 Li 0.000 0.000 0.000
2 Si 0.500 0.500 0.500
3 Te 0.000 0.500 0.000
4 N 0.000 0.000 0.500

No. 3
The following is a GGA-PBE calculation of a relaxed Li2USiN4 crystal, from Alexandria.

Summary:
Formation energy without anion corrections = -0.54 eV per atom
Crystal system = orthorhombic

Lattice parameters (Å, degrees): 3.086 14.551 8.121 90.00 90.00 90.00
Space group Cmcm (No. 63)
Symmetry-distinct sites (fractional):
1 Li 0.000 0.087 0.078
2 U 0.000 0.417 0.250
3 Si 0.000 0.257 0.750
4 N 0.000 0.162 0.609
5 N 0.000 0.186 0.250
6 N 0.000 0.500 0.000